The following is a DFT calculation (PBE-GGA) of a relaxed Mg4CdPd2 crystal.

The structure in CIF format:
```
data_Mg4CdPd2
_space_group_name_H-M_alt 'P 4/m m m'
_space_group_IT_number 123
_space_group_name_Hall '-P 4 2'
_cell_length_a 4.565
_cell_length_b 4.565
_cell_length_c 6.546
_cell_angle_alpha 90.00
_cell_angle_beta 90.00
_cell_angle_gamma 90.00
loop_
_atom_site_label
_atom_site_type_symbol
_atom_site_fract_x
_atom_site_fract_y
_atom_site_fract_z
Mg1 Mg 0.000 0.500 0.230
Cd1 Cd 0.000 0.000 0.500
Pd1 Pd 0.000 0.000 0.000
Pd2 Pd 0.500 0.500 0.500
```

Calculated values
Its formation energy from the elements is -0.41 eV per atom. The energy relative to the lowest polymorph listed for this composition is 0.005 eV per atom.